# 1
This record from Alexandria via LeMat-Bulk describes a crystal of KScRe2Ge relaxed with PBEsol. The functional is SCAN.

Unit cell a=4.6288 b=4.6288 c=5.1527 alpha=90.00 beta=90.00 gamma=90.00
With the nearest neighbours (Å) after each atom.
Space group P4/mmm (No. 123)
Inequivalent atoms, fractional coordinates:
K  0.0000  0.0000  0.0000 (multiplicity 1)  2 Ge 2.58
Sc  0.5000  0.5000  0.0000 (multiplicity 1)  4 K 3.27, 8 Re 3.46
Re  0.0000  0.5000  0.5000 (multiplicity 2)  2 Ge 2.31
Ge  0.0000  0.0000  0.5000 (multiplicity 1)  4 Re 2.31, 2 K 2.58

Properties
As for the density of states at the Fermi level: 4.68 states/eV per cell. The crystal system is tetragonal. The value obtained for the formation energy is 1423 meV/atom.

---

# 2
This record from Alexandria via LeMat-Bulk describes a crystal of KGe2Rh2 relaxed with PBEsol. The functional is SCAN.

Unit cell a=4.1466 b=4.1466 c=11.0553 alpha=90.00 beta=90.00 gamma=90.00
With the nearest neighbours (Å) after each atom.
Space group I4/mmm (No. 139)
Inequivalent atoms, fractional coordinates:
K  0.0000  0.0000  0.0000 (multiplicity 2)  8 Ge 3.30, 8 Rh 3.46
Ge  0.0000  0.0000  0.3636 (multiplicity 4)  4 Rh 2.42
Rh  0.0000  0.5000  0.2500 (multiplicity 4)  4 Ge 2.42

Properties
As for the density of states at the Fermi level: 4.16 states/eV per cell. The crystal system is tetragonal. The value obtained for the formation energy is -567 meV/atom.

---

# 3
This record from Alexandria via LeMat-Bulk describes a crystal of KScGeRh2 relaxed with PBEsol. The functional is SCAN.

Unit cell a=4.5715 b=4.5715 c=5.1919 alpha=90.00 beta=90.00 gamma=90.00
With the nearest neighbours (Å) after each atom.
Space group P4/mmm (No. 123)
Inequivalent atoms, fractional coordinates:
K  0.0000  0.0000  0.0000 (multiplicity 1)  2 Ge 2.60
Sc  0.5000  0.5000  0.0000 (multiplicity 1)  4 K 3.23, 8 Rh 3.46
Ge  0.0000  0.0000  0.5000 (multiplicity 1)  4 Rh 2.29
Rh  0.0000  0.5000  0.5000 (multiplicity 2)  2 Ge 2.29

Properties
As for the density of states at the Fermi level: 3.46 states/eV per cell. The crystal system is tetragonal. The value obtained for the formation energy is 435 meV/atom.

---

# 4
This record from Alexandria via LeMat-Bulk describes a crystal of K2SiGeS relaxed with PBEsol. The functional is SCAN.

Unit cell a=6.2811 b=6.2811 c=4.4507 alpha=90.00 beta=90.00 gamma=90.00
With the nearest neighbours (Å) after each atom.
Space group P4/mmm (No. 123)
Inequivalent atoms, fractional coordinates:
K  0.0000  0.5000  0.0000 (multiplicity 2)  2 Ge 3.14
Si  0.0000  0.0000  0.5000 (multiplicity 1)  2 Ge 2.23
Ge  0.0000  0.0000  0.0000 (multiplicity 1)  2 Si 2.23
S  0.5000  0.5000  0.5000 (multiplicity 1)  8 K 3.85

Properties
As for the density of states at the Fermi level: 2.52 states/eV per cell. The crystal system is tetragonal. The formation energy without anion corrections comes out at 1.07 eV/f.u.

---

# 5
This record from Alexandria via LeMat-Bulk describes a crystal of KTbGeS4 relaxed with PBEsol. The functional is SCAN.

Unit cell a=6.4341 b=6.5872 c=8.5938 alpha=90.00 beta=107.64 gamma=90.00
With the nearest neighbours (Å) after each atom.
Space group P2_1 (No. 4)
Inequivalent atoms, fractional coordinates:
K  0.2366  0.0000  0.4366 (multiplicity 2)  7 S 3.18-3.50
Tb  0.2723  0.9847  0.9490 (multiplicity 2)  7 S 2.77-2.91
Ge  0.2759  0.5185  0.1745 (multiplicity 2)  4 S 2.18-2.22
S  0.0652  0.5885  0.9245 (multiplicity 2)  1 Ge 2.21
S  0.0724  0.5210  0.3364 (multiplicity 2)  1 Ge 2.18
S  0.4699  0.2587  0.7795 (multiplicity 2)  1 Ge 2.22
S  0.4854  0.2449  0.2034 (multiplicity 2)  1 Ge 2.22

Properties
As for the density of states at the Fermi level: 0.00 states/eV per cell. The crystal system is monoclinic. The formation energy without anion corrections comes out at -10.04 eV/f.u.

---

# 6
This record from Alexandria via LeMat-Bulk describes a crystal of KGeSbTe2 relaxed with PBEsol. The functional is SCAN.

Unit cell a=5.7834 b=5.7834 c=5.5339 alpha=90.00 beta=90.00 gamma=90.00
With the nearest neighbours (Å) after each atom.
Space group P4/mmm (No. 123)
Inequivalent atoms, fractional coordinates:
K  0.0000  0.0000  0.0000 (multiplicity 1)  2 Sb 2.77, 4 Te 2.89
Ge  0.5000  0.5000  0.5000 (multiplicity 1)  8 Te 4.00, 4 Sb 4.09
Sb  0.0000  0.0000  0.5000 (multiplicity 1)  2 K 2.77
Te  0.0000  0.5000  0.0000 (multiplicity 2)  2 K 2.89

Properties
As for the density of states at the Fermi level: 6.52 states/eV per cell. The crystal system is tetragonal. The formation energy without anion corrections comes out at 6.50 eV/f.u.

---

# 7
This record from Alexandria via LeMat-Bulk describes a crystal of KGeSe2 relaxed with PBEsol. The functional is SCAN.

Unit cell a=3.8356 b=3.8356 c=26.8427 alpha=90.00 beta=90.00 gamma=120.00
With the nearest neighbours (Å) after each atom.
Space group R-3m (No. 166, hexagonal axes)
Inequivalent atoms, fractional coordinates:
K  0.0000  0.0000  0.0000 (multiplicity 3)  2 Se 3.01
Ge  0.0000  0.0000  0.5000 (multiplicity 3)  6 Se 2.65
Se  0.0000  0.0000  0.1122 (multiplicity 6)  3 Ge 2.65

Properties
As for the density of states at the Fermi level: 5.57 states/eV per cell. The crystal system is trigonal. The formation energy without anion corrections comes out at -1.33 eV/f.u.

---

# 8
This record from Alexandria via LeMat-Bulk describes a crystal of KGe2Se4 relaxed with PBEsol. The functional is SCAN.

Unit cell a=7.2760 b=12.0474 c=18.0274 alpha=90.00 beta=98.59 gamma=90.00
With the nearest neighbours (Å) after each atom.
Space group P2_1/c (No. 14)
Inequivalent atoms, fractional coordinates:
K  0.2145  0.0524  0.3203 (multiplicity 4)  6 Se 3.31-3.66
K  0.2509  0.1144  0.9538 (multiplicity 4)  7 Se 3.39-3.73, 1 Ge 3.79
Ge  0.0590  0.7453  0.3546 (multiplicity 4)  4 Se 2.48-2.77
Ge  0.2560  0.7126  0.6738 (multiplicity 4)  4 Se 2.36-2.44
Ge  0.2825  0.6584  0.0214 (multiplicity 4)  4 Se 2.38-2.44
Ge  0.4380  0.2378  0.1433 (multiplicity 4)  4 Se 2.41-2.53
Se  0.0151  0.5782  0.9487 (multiplicity 4)  1 Ge 2.38
Se  0.0280  0.1814  0.7811 (multiplicity 4)  2 Ge 2.36-2.59
Se  0.1805  0.1015  0.1376 (multiplicity 4)  2 Ge 2.48
Se  0.2384  0.6452  0.5450 (multiplicity 4)  2 Ge 2.43-2.44
Se  0.3076  0.6078  0.3418 (multiplicity 4)  2 Ge 2.41-2.49
Se  0.3108  0.5953  0.1514 (multiplicity 4)  2 Ge 2.39-2.44
Se  0.4397  0.1348  0.5322 (multiplicity 4)  2 Ge 2.38-2.53
Se  0.4856  0.1310  0.7511 (multiplicity 4)  2 Ge 2.36-2.49

Properties
As for the density of states at the Fermi level: 17.80 states/eV per cell. The crystal system is monoclinic. The formation energy without anion corrections comes out at -3.76 eV/f.u.